Compound: Cs3LiTl3I8
Source: the Alexandria database
Functional: PBE-GGA
Structure: optimized geometry

Calculated values
Crystal system: trigonal
Raw formation energy, meV per atom: -978
Space group: R-3m (166)
E, eV per atom: -2.576

Cell: 10.6413 10.6473 9.9314 Å, 122.46 90.00 119.98°
Fractional positions:
Cs (0.5000, 0.0000, 0.5000)
Cs (0.5000, 0.5000, 0.5000)
Cs (0.0000, 0.5000, 0.5000)
Li (0.0000, 0.0000, 0.5000)
Tl (0.0000, 0.0000, 0.0000)
Tl (0.0000, 0.5000, 0.0000)
Tl (0.5000, 0.5000, 0.0000)
I (0.2402, 0.4803, 0.2204)
I (0.7598, 0.5197, 0.7796)
I (0.7842, 0.5684, 0.2619)
I (0.2158, 0.4316, 0.7381)
I (0.7843, 0.9777, 0.2623)
I (0.2157, 0.0223, 0.7377)
I (0.1934, 0.9777, 0.2623)
I (0.8066, 0.0223, 0.7377)